The following is a DFT calculation (GGA-PBE) of crystalline CaW2Cl at its relaxed geometry.

Cell lengths 3.257, 4.685, 9.677 Å; angles 90.00, 90.00, 90.00 degrees
Space group Cmmm (No. 65)
Symmetry-distinct sites (fractional):
Ca1 0.000 0.000 0.000 (multiplicity 2)
W1 0.000 0.500 0.275 (multiplicity 4)
Cl1 0.000 0.000 0.500 (multiplicity 2)

Results
The calculated total energy comes out at -6.41 eV/atom. The density of states at the Fermi level is 0.609 states/eV per atom. The uncorrected formation energy is 1032 meV per atom. The crystal system is orthorhombic.

=====

The following is a DFT calculation (GGA-PBE) of crystalline CaWCl6 at its relaxed geometry.

Cell lengths 6.4955, 6.4955, 17.6397 Å; angles 90.00, 90.00, 120.00 degrees
Space group R-3 (No. 148, hexagonal axes)
Symmetry-distinct sites (fractional):
Ca1 0.0000 0.0000 0.0000 (multiplicity 3)
W1 0.0000 0.0000 0.5000 (multiplicity 3)
Cl1 0.0062 0.3049 0.4221 (multiplicity 18)

Results
The calculated total energy comes out at -4.58 eV/atom. The density of states at the Fermi level is 0.890 states/eV per atom. The uncorrected formation energy is -1322 meV per atom. The crystal system is trigonal.